Entry 1:
VASP calculation (GGA-PBE) on a relaxed Ce4ZrS5 crystal.

Values from the calculation:
The calculation puts the density of states at the Fermi level at 18.01 states/eV/f.u. For the total moment, the calculation gives 1.9 μB/cell. The formation energy from raw total energies comes out at -1.91 eV/atom. For the final energy, the calculation gives -7.20 eV/atom. Its theoretical density is 6.2 g cm⁻³.

a b c (Å): 6.835 6.835 6.835
angles (deg): 99.67 99.67 131.61
Sites, in units of the cell vectors:
Ce (0.097, 0.300, 0.398)
Ce (0.300, 0.903, 0.203)
Ce (0.700, 0.097, 0.797)
Ce (0.903, 0.700, 0.602)
Zr (0.500, 0.500, 0.000)
S (0.000, 0.000, 0.000)
S (0.211, 0.598, 0.809)
S (0.402, 0.211, 0.614)
S (0.598, 0.789, 0.386)
S (0.789, 0.402, 0.191)



Entry 2:
VASP calculation (GGA-PBE) on a relaxed KCa2Y crystal.

Values from the calculation:
The calculation puts the density of states at the Fermi level at 5.70 states/eV/f.u. As for the polymorph energy (0 for the lowest one): 185 meV/atom. For the total moment, the calculation gives 0.9 μB/cell. The value obtained for the energy relative to the elements is 0.339 eV/atom. For the final energy, the calculation gives -2.55 eV/atom. Its theoretical density is 2.0 g cm⁻³.

a b c (Å): 7.544 7.544 7.544
angles (deg): 149.67 127.65 61.71
Sites, in units of the cell vectors:
K (0.000, 0.000, 0.000)
Ca (0.259, 0.759, 0.500)
Ca (0.741, 0.241, 0.500)
Y (0.500, 0.500, 0.000)



Entry 3:
VASP calculation (GGA-PBE) on a relaxed NdReN4 crystal.

Values from the calculation:
The calculation puts the density of states at the Fermi level at 0.89 states/eV/f.u. For the total moment, the calculation gives 0.0 μB/cell. The formation energy from raw total energies comes out at -0.08 eV/atom. For the final energy, the calculation gives -8.50 eV/atom. Its theoretical density is 7.6 g cm⁻³.

a b c (Å): 5.926 5.926 4.826
angles (deg): 90.00 90.00 90.00
Sites, in units of the cell vectors:
Nd (0.250, 0.250, 0.000)
Nd (0.750, 0.750, 0.000)
Re (0.250, 0.750, 0.500)
Re (0.750, 0.250, 0.500)
N (0.071, 0.571, 0.282)
N (0.071, 0.929, 0.718)
N (0.429, 0.571, 0.718)
N (0.429, 0.929, 0.282)
N (0.571, 0.071, 0.718)
N (0.571, 0.429, 0.282)
N (0.929, 0.071, 0.282)
N (0.929, 0.429, 0.718)



Entry 4:
VASP calculation (GGA-PBE) on a relaxed Sr2GeIrN crystal.

Values from the calculation:
The calculation puts the density of states at the Fermi level at 2.20 states/eV/f.u. For the total moment, the calculation gives 0.0 μB/cell. The formation energy from raw total energies comes out at -0.49 eV/atom. For the final energy, the calculation gives -5.52 eV/atom. Its theoretical density is 6.6 g cm⁻³.

a b c (Å): 5.528 5.528 3.766
angles (deg): 90.00 90.00 90.00
Sites, in units of the cell vectors:
Sr (0.000, 0.500, 0.000)
Sr (0.500, 0.000, 0.000)
Ge (0.000, 0.000, 0.500)
Ir (0.500, 0.500, 0.500)
N (0.500, 0.500, 0.000)



Repeat the fourth record exactly.
VASP calculation (GGA-PBE) on a relaxed Sr2GeIrN crystal.

Values from the calculation:
The calculation puts the density of states at the Fermi level at 2.20 states/eV/f.u. For the total moment, the calculation gives 0.0 μB/cell. The formation energy from raw total energies comes out at -0.49 eV/atom. For the final energy, the calculation gives -5.52 eV/atom. Its theoretical density is 6.6 g cm⁻³.

a b c (Å): 5.528 5.528 3.766
angles (deg): 90.00 90.00 90.00
Sites, in units of the cell vectors:
Sr (0.000, 0.500, 0.000)
Sr (0.500, 0.000, 0.000)
Ge (0.000, 0.000, 0.500)
Ir (0.500, 0.500, 0.500)
N (0.500, 0.500, 0.000)